i:
The following is a DFT calculation (PBE-GGA) of a relaxed structure of Li2Sb2Pd.

The space group is C2/m (No. 12) and the conventional cell measures 10.687, 4.481 and 9.961 Å, with angles of 90.00, 115.88 and 90.00 degrees. The distinct sites, in fractional coordinates, are Li at (0.035, 0.000, 0.343), Li at (0.161, 0.000, 0.080), Sb at (0.032, 0.500, 0.871), Sb at (0.146, 0.500, 0.602) and Pd at (0.217, 0.500, 0.373).


ii:
The following is a DFT calculation (PBE-GGA) of a relaxed structure of Li2Sb2Pd.

The space group is P4/mbm (No. 127) and the conventional cell measures 7.536, 7.536 and 3.276 Å, with angles of 90.00, 90.00 and 90.00 degrees. The distinct sites, in fractional coordinates, are Li at (0.114, 0.386, 0.000), Sb at (0.189, 0.689, 0.500) and Pd at (0.000, 0.000, 0.000).


iii:
The following is a DFT calculation (PBE-GGA) of a relaxed structure of Li2Sb2Pd.

The space group is Fddd (No. 70, origin choice 2) and the conventional cell measures 6.011, 6.031 and 22.867 Å, with angles of 90.00, 90.00 and 90.00 degrees. The distinct sites, in fractional coordinates, are Li at (0.125, 0.125, 0.297), Sb at (0.125, 0.125, 0.445) and Pd at (0.125, 0.125, 0.625).


Most stable: i. Least stable: ii.


i:
The following is a DFT calculation (PBE-GGA) of a relaxed structure of Li2SbPd3.

The space group is C2/c (No. 15) and the conventional cell measures 13.597, 5.383 and 5.274 Å, with angles of 90.00, 96.96 and 90.00 degrees. The distinct sites, in fractional coordinates, are Li at (0.171, 0.105, 0.074), Sb at (0.000, 0.338, 0.250), Pd at (0.000, 0.146, 0.750) and Pd at (0.169, 0.398, 0.576).


ii:
The following is a DFT calculation (PBE-GGA) of a relaxed structure of Li2SbPd3.

The space group is Cmmm (No. 65) and the conventional cell measures 4.180, 11.978 and 3.709 Å, with angles of 90.00, 90.00 and 90.00 degrees. The distinct sites, in fractional coordinates, are Li at (0.000, 0.171, 0.000), Sb at (0.000, 0.500, 0.000), Pd at (0.000, 0.000, 0.500) and Pd at (0.000, 0.331, 0.500).


Most stable: ii. Least stable: i.